A relaxed Ca4Ag2Se crystal. Source: Alexandria, functional GGA-PBE.

## Properties
Magnetic moment, Bohr magnetons per cell: 0.00
Total DFT energy (no corrections), eV per atom: -2.981
SG: I4/mmm, No. 139

Cell: 8.403 8.403 8.403 Å, 141.22 141.22 56.00°
Sites, in units of the cell vectors:
Ca  0.000  0.500  0.500
Ca  0.199  0.199  0.000
Ca  0.500  0.000  0.500
Ca  0.801  0.801  0.000
Ag  0.399  0.399  0.000
Ag  0.601  0.601  0.000
Se  0.000  0.000  0.000

***

A relaxed La2DyHo3Te6 crystal. Source: Alexandria, functional GGA-PBE.

## Properties
Magnetic moment, Bohr magnetons per cell: 0.00
Total DFT energy (no corrections), eV per atom: -5.289
SG: C2/m, No. 12

Cell: 9.906 9.906 8.914 Å, 103.64 103.64 25.60°
Sites, in units of the cell vectors:
La  0.167  0.167  0.333
La  0.833  0.833  0.667
Dy  0.500  0.500  0.000
Ho  0.171  0.171  0.834
Ho  0.500  0.500  0.500
Ho  0.829  0.829  0.166
Te  0.006  0.006  0.752
Te  0.335  0.335  0.931
Te  0.338  0.338  0.407
Te  0.662  0.662  0.593
Te  0.665  0.665  0.069
Te  0.994  0.994  0.248

***

A relaxed RbNaAs2 crystal. Source: Alexandria, functional GGA-PBE.

## Properties
Magnetic moment, Bohr magnetons per cell: 0.00
Energy relative to the lowest polymorph listed for this composition, eV/atom: 0.000
SG: I-42d, No. 122
ΔH_f (0 K), eV per formula unit: -0.57

Cell: 10.731 10.731 10.731 Å, 151.92 151.92 40.12°
Sites, in units of the cell vectors:
Rb  0.000  0.000  0.000
Rb  0.750  0.250  0.500
Na  0.250  0.750  0.500
Na  0.500  0.500  0.000
As  0.354  0.625  0.229
As  0.375  0.604  0.729
As  0.396  0.125  0.771
As  0.875  0.646  0.271

***

A relaxed TlCo2BiS crystal. Source: Alexandria, functional GGA-PBE.

## Properties
Magnetic moment, Bohr magnetons per cell: 3.63
Total DFT energy (no corrections), eV per atom: -3.952
SG: P4/mmm, No. 123

Cell: 4.945 4.945 5.564 Å, 90.00 90.00 90.00°
Sites, in units of the cell vectors:
Tl  0.000  0.000  0.000
Co  0.000  0.500  0.500
Co  0.500  0.000  0.500
Bi  0.500  0.500  0.500
S  0.500  0.500  0.000

***

A relaxed Mg6Bi2Pt crystal. Source: Alexandria, functional GGA-PBE.

## Properties
Magnetic moment, Bohr magnetons per cell: 0.00
SG: P-62m, No. 189
ΔH_f (0 K), eV per formula unit: -3.61

Cell: 7.839 7.839 3.992 Å, 90.00 90.00 120.00°
Sites, in units of the cell vectors:
Mg  0.000  0.353  0.000
Mg  0.000  0.768  0.500
Mg  0.232  0.232  0.500
Mg  0.353  0.000  0.000
Mg  0.647  0.647  0.000
Mg  0.768  0.000  0.500
Bi  0.333  0.667  0.500
Bi  0.667  0.333  0.500
Pt  0.000  0.000  0.000

***

A relaxed Pm2Sb3Rh2 crystal. Source: Alexandria, functional GGA-PBE.

## Properties
Magnetic moment, Bohr magnetons per cell: 0.00
Total DFT energy (no corrections), eV per atom: -6.042
SG: Cmcm, No. 63

Cell: 10.701 10.701 7.247 Å, 90.00 90.00 156.20°
Sites, in units of the cell vectors:
Pm  0.029  0.971  0.750
Pm  0.164  0.836  0.250
Pm  0.836  0.164  0.750
Pm  0.971  0.029  0.250
Sb  0.216  0.784  0.750
Sb  0.420  0.580  0.527
Sb  0.420  0.580  0.973
Sb  0.580  0.420  0.027
Sb  0.580  0.420  0.473
Sb  0.784  0.216  0.250
Rh  0.295  0.705  0.042
Rh  0.295  0.705  0.458
Rh  0.705  0.295  0.542
Rh  0.705  0.295  0.958

***

A relaxed TiGaSb2Rh crystal. Source: Alexandria, functional GGA-PBE.

## Properties
Magnetic moment, Bohr magnetons per cell: 0.03
Total DFT energy (no corrections), eV per atom: -4.909
SG: P4/mmm, No. 123

Cell: 5.199 5.199 4.574 Å, 90.00 90.00 90.00°
Sites, in units of the cell vectors:
Ti  0.000  0.000  0.000
Ga  0.500  0.500  0.000
Sb  0.000  0.500  0.500
Sb  0.500  0.000  0.500
Rh  0.500  0.500  0.500

***

A relaxed Nd5Y4Ho2 crystal. Source: Alexandria, functional GGA-PBE.

## Properties
Magnetic moment, Bohr magnetons per cell: 0.00
Energy relative to the lowest polymorph listed for this composition, eV/atom: 0.199
SG: Immm, No. 71
ΔH_f (0 K), eV per formula unit: 2.37

Cell: 12.826 12.826 12.826 Å, 164.10 138.04 45.14°
Sites, in units of the cell vectors:
Nd  0.000  0.000  0.000
Nd  0.053  0.353  0.700
Nd  0.348  0.647  0.700
Nd  0.652  0.353  0.300
Nd  0.947  0.647  0.300
Y  0.312  0.500  0.812
Y  0.402  0.902  0.500
Y  0.598  0.098  0.500
Y  0.688  0.500  0.188
Ho  0.269  0.769  0.500
Ho  0.731  0.231  0.500

***

A relaxed Ac4Dy3Y2 crystal. Source: Alexandria, functional GGA-PBE.

## Properties
Magnetic moment, Bohr magnetons per cell: 0.00
SG: C2/m, No. 12
ΔH_f (0 K), eV per formula unit: 0.53

Cell: 6.385 6.385 11.206 Å, 104.76 104.76 49.99°
Sites, in units of the cell vectors:
Ac  0.006  0.006  0.333
Ac  0.334  0.334  0.111
Ac  0.666  0.666  0.889
Ac  0.994  0.994  0.667
Dy  0.000  0.000  0.000
Dy  0.335  0.335  0.449
Dy  0.665  0.665  0.551
Y  0.327  0.327  0.771
Y  0.673  0.673  0.229

***

A relaxed Pm5Dy5Cd2 crystal. Source: Alexandria, functional GGA-PBE.

## Properties
Magnetic moment, Bohr magnetons per cell: 0.00
SG: C2/m, No. 12
ΔH_f (0 K), eV per formula unit: -0.77

Cell: 6.724 6.724 11.130 Å, 90.21 90.21 47.96°
Sites, in units of the cell vectors:
Pm  0.000  0.000  0.000
Pm  0.321  0.321  0.533
Pm  0.481  0.481  0.249
Pm  0.519  0.519  0.751
Pm  0.679  0.679  0.467
Dy  0.000  0.000  0.500
Dy  0.183  0.183  0.248
Dy  0.320  0.320  0.966
Dy  0.680  0.680  0.034
Dy  0.817  0.817  0.752
Cd  0.151  0.151  0.749
Cd  0.849  0.849  0.251

***

A relaxed PmThIn2 crystal. Source: Alexandria, functional GGA-PBE.

## Properties
Magnetic moment, Bohr magnetons per cell: 0.00
SG: Pmma, No. 51
ΔH_f (0 K), eV per formula unit: -1.37

Cell: 5.701 3.535 11.437 Å, 90.00 90.00 90.00°
Sites, in units of the cell vectors:
Pm  0.250  0.000  0.121
Pm  0.750  0.000  0.879
Th  0.250  0.000  0.619
Th  0.750  0.000  0.381
In  0.250  0.500  0.367
In  0.250  0.500  0.873
In  0.750  0.500  0.127
In  0.750  0.500  0.633

***

A relaxed LiHf2Pt2 crystal. Source: Alexandria, functional GGA-PBE.

## Properties
Magnetic moment, Bohr magnetons per cell: 0.00
Energy relative to the lowest polymorph listed for this composition, eV/atom: 0.159
SG: I4/mmm, No. 139
ΔH_f (0 K), eV per formula unit: -3.45

Cell: 6.170 6.170 6.170 Å, 136.49 136.49 63.22°
Sites, in units of the cell vectors:
Li  0.000  0.000  0.000
Hf  0.250  0.750  0.500
Hf  0.750  0.250  0.500
Pt  0.378  0.378  0.000
Pt  0.622  0.622  0.000